Density functional theory data (GGA-PBE) for a relaxed CoAg2Pt crystal.

Calculated values
E = -4.4382 eV/atom
formation enthalpy at 0 K = 264 meV/atom
symmetry = F-43m, No. 216

POSCAR file:
```
CoAg2Pt
1.0
0.000 3.154 3.154
3.154 0.000 3.154
3.154 3.154 0.000
Co Ag Pt
1 2 1
direct
0.000 0.000 0.000
0.250 0.250 0.250
0.500 0.500 0.500
0.750 0.750 0.750
```